# AcBiPt

An optimized crystal structure of AcBiPt (PBE, Alexandria).

- uncorrected energy (eV per formula unit) = -16.8
- E above lowest polymorph (eV/atom) = 0.050

Structure (CIF):
```
data_AcBiPt
_cell_length_a 4.7547
_cell_length_b 4.7547
_cell_length_c 4.4946
_cell_angle_alpha 90.00
_cell_angle_beta 90.00
_cell_angle_gamma 120.00
_symmetry_space_group_name_H-M 'P 3 m 1'
_symmetry_Int_Tables_number 156
loop_
_symmetry_equiv_pos_as_xyz
'x,y,z'
'-y,x-y,z'
'-x+y,-x,z'
'-y,-x,z'
'-x+y,y,z'
'x,x-y,z'
loop_
_atom_site_label
_atom_site_type_symbol
_atom_site_fract_x
_atom_site_fract_y
_atom_site_fract_z
Ac1 Ac 0.0000 0.0000 0.0000
Bi1 Bi 0.6667 0.3333 0.4915
Pt1 Pt 0.3333 0.6667 0.5877
```